# NbAsPO2

NbAsPO2 at its PBEsol-relaxed geometry (meta-GGA SCAN, Alexandria via LeMat-Bulk).

Results
The calculation puts the size of the total moment at 2.14 Bohr magnetons per cell. The value obtained for the formation energy (no corrections) is -0.243 eV per atom. The density of states at the Fermi level comes out at 0.627 states/eV/atom. The calculated total energy is -77.397 eV/f.u.

a b c (Å): 3.761 3.761 4.816
angles (deg): 90.00 90.00 90.00
Last column: magnetic moment on the atom in μB.
Positions (direct):
1 O 0.500 0.000 0.000  0.06
2 O 0.000 0.500 0.000  0.06
3 Nb 0.500 0.500 0.500  1.64
4 As 0.000 0.000 0.000  0.06
5 P 0.000 0.000 0.500  -0.07

# LiZr2Rh

LiZr2Rh at its PBEsol-relaxed geometry (meta-GGA SCAN, Alexandria via LeMat-Bulk).

Results
The calculation puts the size of the total moment at 0.00 Bohr magnetons per cell. The density of states at the Fermi level comes out at 0.868 states/eV/atom. The calculation puts the formation energy at -24 kJ/mol of atoms. The calculated total energy is -98.542 eV/f.u.

a b c (Å): 3.870 3.870 5.372
angles (deg): 111.11 111.11 90.00
Positions (direct):
1 Zr 0.750 0.250 0.500
2 Zr 0.000 0.000 0.000
3 Rh 0.250 0.750 0.500
4 Li 0.500 0.500 0.000

# Li2VO2F2

Li2VO2F2 at its PBEsol-relaxed geometry (meta-GGA SCAN, Alexandria via LeMat-Bulk).

Results
The calculation puts the size of the total moment at 2.00 Bohr magnetons per cell. The value obtained for the formation energy (no corrections) is -2.843 eV per atom. The energy above the lowest structure with this stoichiometry comes out at 49 meV per atom. The density of states at the Fermi level comes out at 0.138 states/eV/atom. The calculated total energy is -61.715 eV/f.u.

a b c (Å): 5.596 5.834 5.804
angles (deg): 119.83 90.00 118.66
Last column: magnetic moment on the atom in μB.
Positions (direct):
1 F 0.274 0.032 0.766  0.01
2 F 0.758 0.032 0.766  0.01
3 F 0.726 0.968 0.234  0.01
4 F 0.242 0.968 0.234  0.01
5 V 0.000 0.500 0.000  1.09
6 V 0.500 0.500 0.000  1.09
7 O 0.254 0.507 0.220  -0.07
8 O 0.746 0.493 0.780  -0.07
9 O 0.254 0.507 0.788  -0.07
10 O 0.746 0.493 0.212  -0.07
11 Li 0.500 0.000 0.000  0.00
12 Li 0.500 0.000 0.500  0.00
13 Li 0.130 0.260 0.380  0.00
14 Li 0.870 0.740 0.620  0.00

# Ba2RePb

Ba2RePb at its PBEsol-relaxed geometry (meta-GGA SCAN, Alexandria via LeMat-Bulk).

Results
The calculation puts the size of the total moment at 0.42 Bohr magnetons per cell. The density of states at the Fermi level comes out at 1.128 states/eV/atom. The calculation puts the formation energy at 89 kJ/mol of atoms. The calculated total energy is -222.279 eV/f.u.

a b c (Å): 3.505 3.505 11.352
angles (deg): 81.12 81.12 60.00
Last column: magnetic moment on the atom in μB.
Positions (direct):
1 Ba 0.739 0.739 0.784  0.00
2 Ba 0.261 0.261 0.216  0.00
3 Pb 0.500 0.500 0.500  0.01
4 Re 0.000 0.000 0.000  0.33

# SrLiGe2

SrLiGe2 at its PBEsol-relaxed geometry (meta-GGA SCAN, Alexandria via LeMat-Bulk).

Results
The calculation puts the size of the total moment at 0.00 Bohr magnetons per cell. The density of states at the Fermi level comes out at 0.230 states/eV/atom. The calculation puts the formation energy at -56 kJ/mol of atoms. The calculated total energy is -65.162 eV/f.u.

a b c (Å): 4.405 7.120 11.458
angles (deg): 90.00 90.00 90.00
Positions (direct):
1 Sr 0.250 0.637 0.644
2 Sr 0.750 0.363 0.356
3 Sr 0.250 0.137 0.856
4 Sr 0.750 0.863 0.144
5 Ge 0.250 0.536 0.161
6 Ge 0.750 0.464 0.839
7 Ge 0.750 0.309 0.643
8 Ge 0.250 0.691 0.357
9 Ge 0.250 0.036 0.339
10 Ge 0.250 0.191 0.143
11 Ge 0.750 0.809 0.857
12 Ge 0.750 0.964 0.661
13 Li 0.750 0.876 0.440
14 Li 0.750 0.376 0.060
15 Li 0.250 0.624 0.940
16 Li 0.250 0.124 0.560

# LuScRu2

LuScRu2 at its PBEsol-relaxed geometry (meta-GGA SCAN, Alexandria via LeMat-Bulk).

Results
The calculation puts the size of the total moment at 0.00 Bohr magnetons per cell. The density of states at the Fermi level comes out at 0.782 states/eV/atom. The calculation puts the formation energy at -60 kJ/mol of atoms. The calculated total energy is -141.721 eV/f.u.

a b c (Å): 4.551 4.551 4.551
angles (deg): 60.00 60.00 60.00
Positions (direct):
1 Sc 0.000 0.000 0.000
2 Ru 0.750 0.750 0.750
3 Ru 0.250 0.250 0.250
4 Lu 0.500 0.500 0.500

> Among the records above, which one has the lowest calculated total energy?

Ba2RePb